Entry 1:
## Th2ScSb (GGA-PBE)

Data for crystalline Th2ScSb at its relaxed geometry.

Output
Magnetization (μB per formula unit): 0.000
Total energy (eV/atom): -6.1877
Crystal system: trigonal

Unit cell a=3.4290 b=3.4290 c=36.1411 alpha=90.00 beta=90.00 gamma=120.00
Space group R-3m (No. 166, hexagonal axes)
One atom of each set of equivalent atoms:
Th1 0.0000 0.0000 0.0886 x6
Sc1 0.0000 0.0000 0.5000 x3
Sb1 0.0000 0.0000 0.0000 x3

---

Entry 2:
## BaYCuSnO5 (GGA-PBE)

Data for crystalline BaYCuSnO5 at its relaxed geometry.

Output
Magnetization (μB per formula unit): 0.000
Total energy (eV/atom): -6.6974
Crystal system: tetragonal

Unit cell a=3.9895 b=3.9895 c=8.5200 alpha=90.00 beta=90.00 gamma=90.00
Space group P4mm (No. 99)
One atom of each set of equivalent atoms:
Ba1 0.0000 0.0000 0.0000 x1
Y1 0.0000 0.0000 0.4078 x1
Cu1 0.5000 0.5000 0.2443 x1
Sn1 0.5000 0.5000 0.6636 x1
O1 0.0000 0.5000 0.2446 x2
O2 0.0000 0.5000 0.5823 x2
O3 0.5000 0.5000 0.8991 x1

---

Entry 3:
## Y3AsAu (GGA-PBE)

Data for crystalline Y3AsAu at its relaxed geometry.

Output
Formation energy from the elements (eV/atom): -0.38
Magnetization (μB per formula unit): 0.065
Total energy (eV/atom): -5.8411
Crystal system: cubic

Unit cell a=5.3317 b=5.3317 c=5.3317 alpha=90.00 beta=90.00 gamma=90.00
Space group Pm-3m (No. 221)
One atom of each set of equivalent atoms:
Y1 0.0000 0.0000 0.5000 x3
As1 0.0000 0.0000 0.0000 x1
Au1 0.5000 0.5000 0.5000 x1

---

Entry 4:
## Co4As (GGA-PBE)

Data for crystalline Co4As at its relaxed geometry.

Output
Formation energy from the elements (eV/atom): 0.32
Magnetization (μB per formula unit): 5.866
Total energy (eV/atom): -6.2961
Crystal system: tetragonal

Unit cell a=3.2237 b=3.2237 c=12.3067 alpha=90.00 beta=90.00 gamma=90.00
Space group I4/mmm (No. 139)
One atom of each set of equivalent atoms:
Co1 0.0000 0.0000 0.1006 x4
Co2 0.0000 0.5000 0.2500 x4
As1 0.0000 0.0000 0.5000 x2

---

Entry 5:
## TmCuB (GGA-PBE)

Data for crystalline TmCuB at its relaxed geometry.

Output
Formation energy from the elements (eV/atom): 0.35
Magnetization (μB per formula unit): 0.000
Total energy (eV/atom): -4.7312
Crystal system: orthorhombic

Unit cell a=5.2603 b=7.7426 c=8.4935 alpha=90.00 beta=90.00 gamma=90.00
Space group Fmmm (No. 69)
One atom of each set of equivalent atoms:
Tm1 0.0000 0.1800 0.0000 x8
Cu1 0.0000 0.0000 0.3343 x8
B1 0.2500 0.2500 0.2500 x8

---

Entry 6:
## TaRh2W2 (GGA-PBE)

Data for crystalline TaRh2W2 at its relaxed geometry.

Output
Formation energy from the elements (eV/atom): 0.10
Magnetization (μB per formula unit): 0.000
Total energy (eV/atom): -10.3949
Crystal system: tetragonal

Unit cell a=7.6409 b=7.6409 c=2.7825 alpha=90.00 beta=90.00 gamma=90.00
Space group P4/mbm (No. 127)
One atom of each set of equivalent atoms:
Ta1 0.0000 0.0000 0.0000 x2
Rh1 0.1745 0.3255 0.5000 x4
W1 0.1221 0.6221 0.0000 x4